Entry 1:
VASP calculation (GGA-PBE) on a geometry-optimized SmYScPd structure.

Cell: 7.365 7.365 7.365 Å, 90.00 90.00 90.00°
Fractional coordinates of all 16 atoms:
1 Sm 0.000 0.000 0.000
2 Sm 0.000 0.500 0.500
3 Sm 0.500 0.000 0.500
4 Sm 0.500 0.500 0.000
5 Y 0.000 0.000 0.500
6 Y 0.000 0.500 0.000
7 Y 0.500 0.000 0.000
8 Y 0.500 0.500 0.500
9 Sc 0.250 0.250 0.250
10 Sc 0.250 0.750 0.750
11 Sc 0.750 0.250 0.750
12 Sc 0.750 0.750 0.250
13 Pd 0.250 0.250 0.750
14 Pd 0.250 0.750 0.250
15 Pd 0.750 0.250 0.250
16 Pd 0.750 0.750 0.750

Values from the calculation:
calculated density	6494	kg/m3
energy relative to the elements	-0.6	eV per formula unit

---

Entry 2:
VASP calculation (GGA-PBE) on a geometry-optimized Y2CrCd structure.

Cell: 3.566 3.566 28.294 Å, 90.00 90.00 120.00°
Fractional coordinates of all 12 atoms:
1 Y 0.000 0.000 0.244
2 Y 0.000 0.000 0.756
3 Y 0.333 0.667 0.422
4 Y 0.333 0.667 0.911
5 Y 0.667 0.333 0.089
6 Y 0.667 0.333 0.578
7 Cr 0.000 0.000 0.500
8 Cr 0.333 0.667 0.167
9 Cr 0.667 0.333 0.833
10 Cd 0.000 0.000 0.000
11 Cd 0.333 0.667 0.667
12 Cd 0.667 0.333 0.333

Values from the calculation:
calculated density	5471	kg/m3
energy relative to the elements	1.0	eV per formula unit

---

Entry 3:
VASP calculation (GGA-PBE) on a geometry-optimized Tm2GaOsC structure.

Cell: 4.852 4.852 3.907 Å, 90.00 90.00 90.00°
Fractional coordinates of all 5 atoms:
1 Tm 0.000 0.500 0.000
2 Tm 0.500 0.000 0.000
3 Ga 0.000 0.000 0.500
4 Os 0.500 0.500 0.500
5 C 0.500 0.500 0.000

Values from the calculation:
calculated density	11012	kg/m3
energy relative to the elements	-2.3	eV per formula unit

---

Record-wise magnetic moment values, in μB per atom: 0.000; 0.835; 0.000